[1]
Er12P3H5: relaxed, PBE.

Geometry as POSCAR:
```
Er12P3H5
1.0
-6.686 10.238 -3.772
-2.978 -2.810 12.123
12.515 2.532 -0.841
Er H P
48 20 12
Direct
0.785 0.309 0.903
0.118 0.403 0.094
0.403 0.285 0.309
0.215 0.524 0.618
0.976 0.594 0.191
0.618 0.594 0.903
0.809 0.903 0.285
0.715 0.597 0.191
0.594 0.976 0.691
0.594 0.618 0.403
0.906 0.097 0.882
0.097 0.191 0.215
0.476 0.785 0.882
0.024 0.618 0.715
0.597 0.882 0.406
0.215 0.691 0.097
0.903 0.809 0.785
0.524 0.215 0.118
0.382 0.406 0.097
0.903 0.094 0.618
0.406 0.382 0.597
0.309 0.524 0.406
0.406 0.024 0.309
0.524 0.309 0.906
0.597 0.715 0.691
0.882 0.285 0.476
0.285 0.882 0.976
0.785 0.476 0.382
0.191 0.097 0.715
0.691 0.215 0.597
0.309 0.785 0.403
0.476 0.691 0.094
0.976 0.382 0.285
0.618 0.024 0.215
0.118 0.715 0.524
0.094 0.903 0.118
0.382 0.976 0.785
0.882 0.597 0.906
0.024 0.406 0.809
0.191 0.094 0.976
0.094 0.191 0.476
0.403 0.118 0.594
0.906 0.809 0.524
0.691 0.476 0.594
0.715 0.118 0.024
0.097 0.906 0.382
0.285 0.403 0.809
0.809 0.906 0.024
0.500 0.500 0.000
0.000 0.000 0.500
0.500 0.000 0.000
0.750 0.125 0.875
0.250 0.375 0.625
0.625 0.750 0.875
0.875 0.250 0.625
0.875 0.625 0.750
0.750 0.625 0.375
0.000 0.500 0.500
0.000 0.500 0.000
0.500 0.500 0.500
0.500 0.000 0.500
0.375 0.125 0.750
0.250 0.875 0.125
0.375 0.250 0.125
0.625 0.875 0.250
0.125 0.375 0.250
0.000 0.000 0.000
0.125 0.750 0.375
0.625 0.250 0.375
0.750 0.875 0.625
0.750 0.375 0.125
0.875 0.125 0.250
0.250 0.625 0.875
0.875 0.750 0.125
0.375 0.750 0.625
0.125 0.250 0.875
0.250 0.125 0.375
0.625 0.375 0.750
0.125 0.875 0.750
0.375 0.625 0.250
```

Output
space group = Ia-3d, No. 230

[2]
Er3PHPb: relaxed, PBE.

Geometry as POSCAR:
```
Er3PHPb
1.0
-2.978 0.547 -2.634
-5.558 -1.490 5.976
0.958 8.473 0.675
H Er P Pb
2 6 2 2
Direct
0.750 0.915 0.401
0.250 0.085 0.599
0.750 0.438 0.171
0.250 0.562 0.829
0.750 0.878 0.129
0.250 0.826 0.460
0.250 0.122 0.871
0.750 0.174 0.540
0.750 0.341 0.847
0.250 0.659 0.153
0.750 0.826 0.747
0.250 0.174 0.253
```

Output
space group = P2_1/m, No. 11

[3]
ErPHRh: relaxed, PBE.

Geometry as POSCAR:
```
ErPHRh
1.0
-3.091 0.627 -2.301
-2.078 -2.557 2.094
-2.138 5.265 4.308
P Rh H Er
2 2 2 2
Direct
0.000 0.500 0.800
0.500 0.000 0.200
0.500 0.500 0.000
0.000 0.000 0.000
0.000 0.000 0.500
0.500 0.500 0.500
0.000 0.500 0.344
0.500 0.000 0.656
```

Output
space group = P4/nmm, No. 129

Number 1: V 1612.92 Å³ per cell, energy -98.50 eV/f.u.. Number 2: V 279.24 Å³ per cell, energy -31.30 eV/f.u.. Number 3: V 108.68 Å³ per cell, energy -24.61 eV/f.u..